Density functional theory data (GGA-PBEsol) for crystalline NaAl3Cr at its relaxed geometry.

abc: 4.915 4.915 4.915
angles: 90.00 90.00 90.00
Positions (direct):
Na 0.000 0.000 0.000
Al 0.000 0.000 0.500
Al 0.000 0.500 0.000
Al 0.500 0.000 0.000
Cr 0.500 0.500 0.500

Values from the calculation:
Symmetry ... Pm-3m (221)
Final energy ... -3.2866 eV/atom
ρ ... 2.181 g/cm³
Crystal system ... cubic



Density functional theory data (GGA-PBEsol) for crystalline NaAl2Cr at its relaxed geometry.

abc: 4.563 4.563 4.563
angles: 60.00 60.00 60.00
Positions (direct):
Na 0.000 0.000 0.000
Al 0.250 0.250 0.250
Al 0.750 0.750 0.750
Cr 0.500 0.500 0.500

Values from the calculation:
Symmetry ... Fm-3m (225)
Final energy ... -4.6004 eV/atom
ρ ... 3.188 g/cm³
Crystal system ... cubic